1.
SrTl2Sn | PBE-GGA | relaxed

Cell lengths 4.7264, 4.7264, 21.4830 Å; angles 90.00, 90.00, 120.00 degrees
Space group R3m (No. 160, hexagonal axes)
Inequivalent atoms, fractional coordinates:
Sr  0.0000  0.0000  0.0000 x3
Tl  0.0000  0.0000  0.4316 x3
Tl  0.0000  0.0000  0.5770 x3
Sn  0.0000  0.0000  0.1749 x3

Computed properties:
- V (Å³/cell) = 415.6
- crystal system = trigonal
- formation energy (meV/atom) = -197

2.
Sr4As2Br5 | PBE-GGA | relaxed

Cell lengths 24.1976, 4.3435, 8.7290 Å; angles 90.00, 91.46, 90.00 degrees
Space group C2/m (No. 12)
Inequivalent atoms, fractional coordinates:
Sr  0.0153  0.0000  0.2662 x4
Sr  0.1714  0.5000  0.4158 x4
As  0.0483  0.5000  0.5380 x4
Br  0.0000  0.5000  0.0000 x2
Br  0.1386  0.0000  0.1858 x4
Br  0.2037  0.0000  0.6490 x4

Computed properties:
- V (Å³/cell) = 917.1
- crystal system = monoclinic
- formation energy from raw total energies (meV/atom) = -1677

3.
ZnCu2Au2 | PBE-GGA | relaxed

Cell lengths 3.8171, 3.8171, 12.0849 Å; angles 90.00, 90.00, 90.00 degrees
Space group I4/mmm (No. 139)
Inequivalent atoms, fractional coordinates:
Zn  0.0000  0.0000  0.0000 x2
Cu  0.0000  0.0000  0.4045 x4
Au  0.0000  0.5000  0.2500 x4

Computed properties:
- V (Å³/cell) = 176.1
- crystal system = tetragonal
- formation energy (meV/atom) = 224

4.
KZr2Ni | PBE-GGA | relaxed

Cell lengths 9.1136, 3.2568, 8.3727 Å; angles 90.00, 109.00, 90.00 degrees
Space group Cm (No. 8)
Inequivalent atoms, fractional coordinates:
K  0.0000  0.0000  0.0000 x2
Zr  0.1449  0.0000  0.6202 x2
Zr  0.3738  0.0000  0.3875 x2
Ni  0.1540  0.5000  0.3845 x2

Computed properties:
- V (Å³/cell) = 235.0
- crystal system = monoclinic
- formation energy (meV/atom) = 441

5.
CsHfS2O | PBE-GGA | relaxed

Cell lengths 4.5496, 4.5496, 4.9632 Å; angles 90.00, 90.00, 90.00 degrees
Space group P4/mmm (No. 123)
Inequivalent atoms, fractional coordinates:
Cs  0.0000  0.0000  0.0000 x1
Hf  0.5000  0.5000  0.0000 x1
S  0.0000  0.5000  0.5000 x2
O  0.0000  0.0000  0.5000 x1

Computed properties:
- V (Å³/cell) = 102.7
- crystal system = tetragonal
- formation energy from raw total energies (meV/atom) = 710

6.
K3CaAg2F9 | PBE-GGA | relaxed

Cell lengths 6.2658, 6.2658, 7.6746 Å; angles 90.00, 90.00, 120.00 degrees
Space group P-3m1 (No. 164)
Inequivalent atoms, fractional coordinates:
K  0.0000  0.0000  0.0000 x1
K  0.3333  0.6667  0.6746 x2
Ca  0.0000  0.0000  0.5000 x1
Ag  0.3333  0.6667  0.1634 x2
F  0.0000  0.5000  0.0000 x3
F  0.1653  0.3306  0.3291 x6

Computed properties:
- V (Å³/cell) = 260.9
- crystal system = trigonal
- formation energy from raw total energies (meV/atom) = -2360

7.
ReSbIr2 | PBE-GGA | relaxed

Cell lengths 2.9464, 2.9464, 7.5550 Å; angles 90.00, 90.00, 90.00 degrees
Space group P4mm (No. 99)
Inequivalent atoms, fractional coordinates:
Re  0.0000  0.0000  0.0000 x1
Sb  0.5000  0.5000  0.2767 x1
Ir  0.0000  0.0000  0.5200 x1
Ir  0.5000  0.5000  0.7858 x1

Computed properties:
- V (Å³/cell) = 65.6
- crystal system = tetragonal
- formation energy from raw total energies (meV/atom) = 371

8.
KTa2N2 | PBE-GGA | relaxed

Cell lengths 6.6379, 6.6379, 2.9360 Å; angles 90.00, 90.00, 90.00 degrees
Space group P4/mbm (No. 127)
Inequivalent atoms, fractional coordinates:
K  0.0000  0.0000  0.0000 x2
Ta  0.1410  0.3590  0.5000 x4
N  0.1307  0.6307  0.0000 x4

Computed properties:
- V (Å³/cell) = 129.4
- crystal system = tetragonal
- formation energy from raw total energies (meV/atom) = 685

9.
AcSmSn2Pd5 | PBE-GGA | relaxed

Cell lengths 4.5583, 4.5583, 9.3927 Å; angles 90.00, 90.00, 90.00 degrees
Space group P4/mmm (No. 123)
Inequivalent atoms, fractional coordinates:
Ac  0.0000  0.0000  0.0000 x1
Sm  0.0000  0.0000  0.5000 x1
Sn  0.5000  0.5000  0.3525 x2
Pd  0.0000  0.5000  0.2160 x4
Pd  0.5000  0.5000  0.0000 x1

Computed properties:
- V (Å³/cell) = 195.2
- crystal system = tetragonal
- formation energy (meV/atom) = -696

10.
CdPI2 | PBE-GGA | relaxed

Cell lengths 8.6911, 8.6911, 12.1864 Å; angles 90.00, 90.00, 90.00 degrees
Space group I4_1/amd (No. 141, origin choice 2)
Inequivalent atoms, fractional coordinates:
Cd  0.0000  0.2500  0.3750 x4
P  0.0000  0.2500  0.8750 x4
I  0.0000  0.0000  0.0000 x8

Computed properties:
- V (Å³/cell) = 920.5
- crystal system = tetragonal
- formation energy from raw total energies (meV/atom) = 344

11.
CaCrMo | PBE-GGA | relaxed

Cell lengths 6.4023, 6.4023, 6.4023 Å; angles 90.00, 90.00, 90.00 degrees
Space group F-43m (No. 216)
Inequivalent atoms, fractional coordinates:
Ca  0.0000  0.0000  0.0000 x4
Cr  0.2500  0.2500  0.2500 x4
Mo  0.0000  0.0000  0.5000 x4

Computed properties:
- V (Å³/cell) = 262.4
- crystal system = cubic
- formation energy (meV/atom) = 1159

12.
BeAs8 | PBE-GGA | relaxed

Cell lengths 10.5139, 10.5139, 3.3363 Å; angles 90.00, 90.00, 90.00 degrees
Space group I4/mmm (No. 139)
Inequivalent atoms, fractional coordinates:
Be  0.0000  0.0000  0.0000 x2
As  0.0000  0.3540  0.0000 x8
As  0.1230  0.1230  0.5000 x8

Computed properties:
- V (Å³/cell) = 368.8
- crystal system = tetragonal
- formation energy (meV/atom) = 310

Please write out number 9 again, unchanged.
AcSmSn2Pd5 | PBE-GGA | relaxed

Cell lengths 4.5583, 4.5583, 9.3927 Å; angles 90.00, 90.00, 90.00 degrees
Space group P4/mmm (No. 123)
Inequivalent atoms, fractional coordinates:
Ac  0.0000  0.0000  0.0000 x1
Sm  0.0000  0.0000  0.5000 x1
Sn  0.5000  0.5000  0.3525 x2
Pd  0.0000  0.5000  0.2160 x4
Pd  0.5000  0.5000  0.0000 x1

Computed properties:
- V (Å³/cell) = 195.2
- crystal system = tetragonal
- formation energy (meV/atom) = -696